3
Lattice="4.4752 1.2807 1.3821 0.9444 4.6091 1.2008 0.8682 1.1733 4.6311" Properties=species:S:1:pos:R:3 comment="YNbSn, relaxed, DFT PBE-GGA" spacegroup="F-43m (216)" pbc="T T T"
Sn 0.0000 0.0000 0.0000
Nb 1.5720 1.7658 1.8035
Y 4.7159 5.2974 5.4105

=====

20
Lattice="7.0155 0.0000 0.0000 0.0000 7.0155 0.0000 0.0000 0.0000 7.0155" Properties=species:S:1:pos:R:3 comment="Ta3GaAu, relaxed, DFT PBE-GGA" spacegroup="P2_13 (198)" pbc="T T T"
Ta 4.4285 2.0797 3.8016
Ta 0.2939 6.0948 4.9358
Ta 2.5870 5.5874 6.7216
Ta 2.0797 3.8016 4.4285
Ta 3.2139 0.9207 1.4281
Ta 6.7216 2.5870 5.5874
Ta 3.8016 4.4285 2.0797
Ta 0.9207 1.4281 3.2139
Ta 1.4281 3.2139 0.9207
Ta 5.5874 6.7216 2.5870
Ta 4.9358 0.2939 6.0948
Ta 6.0948 4.9358 0.2939
Au 6.5570 3.9663 3.0492
Au 3.9663 3.0492 6.5570
Au 3.0492 6.5570 3.9663
Au 0.4585 0.4585 0.4585
Ga 4.8124 4.8124 4.8124
Ga 1.3046 5.7109 2.2032
Ga 5.7109 2.2032 1.3046
Ga 2.2032 1.3046 5.7109

=====

16
Lattice="5.5059 0.0000 0.0000 0.0000 5.5059 0.0000 0.0000 0.0000 9.0835" Properties=species:S:1:pos:R:3 comment="DyAuSO, relaxed, DFT PBE-GGA" spacegroup="P4mm (99)" pbc="T T T"
O 1.3763 4.1296 0.0033
O 4.1296 1.3763 0.0033
O 4.1296 4.1296 0.0033
O 1.3763 1.3763 0.0033
Dy 0.0000 0.0000 1.1315
Dy 2.7530 0.0000 7.9604
Dy 2.7530 2.7530 1.1304
Dy 0.0000 2.7530 7.9604
Au 4.1296 1.3763 4.5363
Au 1.3763 1.3763 4.5363
Au 4.1296 4.1296 4.5363
Au 1.3763 4.1296 4.5363
S 2.7530 2.7530 6.5007
S 0.0000 2.7530 2.5789
S 2.7530 0.0000 2.5789
S 0.0000 0.0000 6.5016

=====

4
Lattice="0.9666 -2.4561 4.1930 -2.8007 -3.8734 1.3040 1.8697 -4.5843 -0.1891" Properties=species:S:1:pos:R:3 comment="SrHgPd2, relaxed, DFT PBE-GGA" spacegroup="F-43m (216)" pbc="T T T"
Pd 0.0000 0.0000 0.0000
Pd 0.0089 -2.7284 1.3270
Hg 0.0178 -5.4569 2.6539
Sr 0.0267 -8.1853 3.9809

=====

Number 1: electronic total energy -6.6856 eV/atom. Number 2: electronic total energy -8.4688 eV/atom. Number 3: electronic total energy -6.0432 eV/atom. Number 4: electronic total energy -3.3743 eV/atom.